# 1
# YP2SeS

A geometry-optimized YP2SeS structure (GGA-PBE, the Alexandria database).

Properties
The energy above the lowest structure with this stoichiometry is 557 meV per atom. For the calculated total energy, the calculation gives -4.33 eV/atom. The value obtained for the density is 2.94 g cm⁻³. For the raw formation energy, the calculation gives 0.649 eV per atom. Its symmetry is P4/mmm.

a b c (Å): 5.4189 5.4189 5.0432
angles (deg): 90.00 90.00 90.00
Fractional coordinates of all 5 atoms:
Y 0.0000 0.0000 0.0000
P 0.0000 0.5000 0.0000
P 0.5000 0.0000 0.0000
Se 0.5000 0.5000 0.5000
S 0.0000 0.0000 0.5000

# 2
# Y6PSe3S2

A geometry-optimized Y6PSe3S2 structure (GGA-PBE, the Alexandria database).

Properties
For the calculated total energy, the calculation gives -7.11 eV/atom. The value obtained for the density is 5.19 g cm⁻³. For the raw formation energy, the calculation gives -1.873 eV per atom. Its symmetry is C2/m.

a b c (Å): 6.9224 6.9224 7.0571
angles (deg): 99.39 99.39 120.01
Fractional coordinates of all 12 atoms:
Y 0.0752 0.4034 0.2253
Y 0.2533 0.2533 0.7746
Y 0.4034 0.0752 0.2253
Y 0.5966 0.9248 0.7747
Y 0.7467 0.7467 0.2254
Y 0.9248 0.5966 0.7747
P 0.0000 0.0000 0.0000
Se 0.1677 0.8323 0.5000
Se 0.5000 0.5000 0.5000
Se 0.8323 0.1677 0.5000
S 0.3334 0.6666 0.0000
S 0.6666 0.3334 0.0000

# 3
# YP2SeS

A geometry-optimized YP2SeS structure (GGA-PBE, the Alexandria database).

Properties
The energy above the lowest structure with this stoichiometry is 0 meV per atom. For the calculated total energy, the calculation gives -4.89 eV/atom. The value obtained for the density is 4.03 g cm⁻³. For the raw formation energy, the calculation gives 0.092 eV per atom. Its symmetry is P4/mmm.

a b c (Å): 4.7583 4.7583 4.7640
angles (deg): 90.00 90.00 90.00
Fractional coordinates of all 5 atoms:
Y 0.0000 0.0000 0.0000
P 0.0000 0.5000 0.5000
P 0.5000 0.0000 0.5000
Se 0.5000 0.5000 0.5000
S 0.5000 0.5000 0.0000

# 4
# YPSeS2

A geometry-optimized YPSeS2 structure (GGA-PBE, the Alexandria database).

Properties
The energy above the lowest structure with this stoichiometry is 0 meV per atom. For the calculated total energy, the calculation gives -4.87 eV/atom. The value obtained for the density is 4.04 g cm⁻³. For the raw formation energy, the calculation gives -0.145 eV per atom. Its symmetry is P4/mmm.

a b c (Å): 4.7625 4.7625 4.7601
angles (deg): 90.00 90.00 90.00
Fractional coordinates of all 5 atoms:
Y 0.0000 0.0000 0.0000
P 0.5000 0.5000 0.0000
Se 0.5000 0.5000 0.5000
S 0.0000 0.5000 0.5000
S 0.5000 0.0000 0.5000

# 5
# YPSeS2

A geometry-optimized YPSeS2 structure (GGA-PBE, the Alexandria database).

Properties
The energy above the lowest structure with this stoichiometry is 472 meV per atom. For the calculated total energy, the calculation gives -4.40 eV/atom. The value obtained for the density is 2.89 g cm⁻³. For the raw formation energy, the calculation gives 0.327 eV per atom. Its symmetry is P4/mmm.

a b c (Å): 5.1610 5.1610 5.6717
angles (deg): 90.00 90.00 90.00
Fractional coordinates of all 5 atoms:
Y 0.0000 0.0000 0.0000
P 0.0000 0.0000 0.5000
Se 0.5000 0.5000 0.5000
S 0.0000 0.5000 0.0000
S 0.5000 0.0000 0.0000

# 6
# SiPS4

A geometry-optimized SiPS4 structure (GGA-PBE, the Alexandria database).

Properties
For the calculated total energy, the calculation gives -4.45 eV/atom. The value obtained for the density is 1.76 g cm⁻³. For the raw formation energy, the calculation gives 0.108 eV per atom. Its symmetry is P4_2/mmc.

a b c (Å): 6.2744 6.2744 8.9791
angles (deg): 90.00 90.00 90.00
Fractional coordinates of all 12 atoms:
Si 0.0000 0.0000 0.0000
Si 0.0000 0.0000 0.5000
P 0.0000 0.5000 0.0000
P 0.5000 0.0000 0.5000
S 0.2422 0.2505 0.0000
S 0.2422 0.7495 0.0000
S 0.2505 0.2422 0.5000
S 0.2505 0.7578 0.5000
S 0.7495 0.2422 0.5000
S 0.7495 0.7578 0.5000
S 0.7578 0.2505 0.0000
S 0.7578 0.7495 0.0000

# 7
# SiP2S

A geometry-optimized SiP2S structure (GGA-PBE, the Alexandria database).

Properties
The energy above the lowest structure with this stoichiometry is 366 meV per atom. For the calculated total energy, the calculation gives -4.36 eV/atom. The value obtained for the density is 3.47 g cm⁻³. For the raw formation energy, the calculation gives 0.731 eV per atom. Its symmetry is Fm-3m.

a b c (Å): 4.3548 4.3548 4.3548
angles (deg): 60.00 60.00 60.00
Fractional coordinates of all 4 atoms:
Si 0.0000 0.0000 0.0000
P 0.2500 0.2500 0.2500
P 0.7500 0.7500 0.7500
S 0.5000 0.5000 0.5000

# 8
# Si2PS2

A geometry-optimized Si2PS2 structure (GGA-PBE, the Alexandria database).

Properties
The energy above the lowest structure with this stoichiometry is 0 meV per atom. For the calculated total energy, the calculation gives -4.43 eV/atom. The value obtained for the density is 2.81 g cm⁻³. For the raw formation energy, the calculation gives 0.469 eV per atom. Its symmetry is I4/mmm.

a b c (Å): 5.2014 5.2014 5.2014
angles (deg): 125.80 125.80 80.22
Fractional coordinates of all 5 atoms:
Si 0.2500 0.7500 0.5000
Si 0.7500 0.2500 0.5000
P 0.0000 0.0000 0.0000
S 0.3168 0.3168 0.0000
S 0.6832 0.6832 0.0000